Computed, not measured: a relaxed LaDy3Ho7 crystal at the GGA-PBE level of DFT.

Summary:
- crystal system = orthorhombic

Unit cell a=5.795 b=11.129 c=11.197 alpha=90.00 beta=90.00 gamma=90.00
Space group Immm (No. 71)
Symmetry-distinct sites (fractional):
La (0.000, 0.000, 0.000) (multiplicity 2)
Dy (0.000, 0.000, 0.500) (multiplicity 2)
Dy (0.000, 0.500, 0.207) (multiplicity 4)
Ho (0.000, 0.211, 0.308) (multiplicity 8)
Ho (0.000, 0.295, 0.000) (multiplicity 4)
Ho (0.000, 0.500, 0.500) (multiplicity 2)



Computed, not measured: a relaxed La4DyHo4 crystal at the GGA-PBE level of DFT.

Summary:
- crystal system = tetragonal

Unit cell a=6.113 b=6.113 c=19.563 alpha=90.00 beta=90.00 gamma=90.00
Space group I-42m (No. 121)
Symmetry-distinct sites (fractional):
La (0.000, 0.000, 0.144) (multiplicity 4)
La (0.000, 0.500, 0.000) (multiplicity 4)
Dy (0.000, 0.000, 0.000) (multiplicity 2)
Ho (0.180, 0.180, 0.296) (multiplicity 8)



Computed, not measured: a relaxed La2DyHo crystal at the GGA-PBE level of DFT.

Summary:
- crystal system = trigonal

Unit cell a=3.6485 b=3.6485 c=35.4094 alpha=90.00 beta=90.00 gamma=120.00
Space group R3m (No. 160, hexagonal axes)
Symmetry-distinct sites (fractional):
La (0.0000, 0.0000, 0.0000) (multiplicity 3)
La (0.0000, 0.0000, 0.1662) (multiplicity 3)
Dy (0.0000, 0.0000, 0.4158) (multiplicity 3)
Ho (0.0000, 0.0000, 0.5845) (multiplicity 3)



Computed, not measured: a relaxed La4Dy5Ho crystal at the GGA-PBE level of DFT.

Summary:
- crystal system = tetragonal

Unit cell a=10.743 b=10.743 c=6.064 alpha=90.00 beta=90.00 gamma=90.00
Space group I4mm (No. 107)
Symmetry-distinct sites (fractional):
La (0.000, 0.323, 0.000) (multiplicity 8)
Dy (0.000, 0.000, 0.250) (multiplicity 2)
Dy (0.188, 0.188, 0.512) (multiplicity 8)
Ho (0.000, 0.000, 0.772) (multiplicity 2)



Computed, not measured: a relaxed La6Dy2Ho5 crystal at the GGA-PBE level of DFT.

Summary:
- crystal system = orthorhombic

Unit cell a=11.784 b=20.871 c=3.644 alpha=90.00 beta=90.00 gamma=90.00
Space group Pbam (No. 55)
Symmetry-distinct sites (fractional):
La (0.059, 0.080, 0.000) (multiplicity 4)
La (0.082, 0.367, 0.000) (multiplicity 4)
La (0.173, 0.635, 0.500) (multiplicity 4)
Dy (0.164, 0.790, 0.000) (multiplicity 4)
Ho (0.000, 0.500, 0.500) (multiplicity 2)
Ho (0.094, 0.227, 0.500) (multiplicity 4)
Ho (0.200, 0.943, 0.500) (multiplicity 4)



Computed, not measured: a relaxed La3Dy3Ho4 crystal at the GGA-PBE level of DFT.

Summary:
- crystal system = orthorhombic

Unit cell a=3.697 b=13.545 c=13.539 alpha=90.00 beta=90.00 gamma=90.00
Space group Amm2 (No. 38)
Symmetry-distinct sites (fractional):
La (0.000, 0.000, 0.000) (multiplicity 2)
La (0.500, 0.246, 0.578) (multiplicity 4)
Dy (0.000, 0.000, 0.651) (multiplicity 2)
Dy (0.000, 0.173, 0.327) (multiplicity 4)
Ho (0.500, 0.000, 0.207) (multiplicity 2)
Ho (0.500, 0.000, 0.450) (multiplicity 2)
Ho (0.500, 0.124, 0.821) (multiplicity 4)



Computed, not measured: a relaxed LiLaDyHo crystal at the GGA-PBE level of DFT.

Summary:
- crystal system = cubic

Unit cell a=7.874 b=7.874 c=7.874 alpha=90.00 beta=90.00 gamma=90.00
Space group F-43m (No. 216)
Symmetry-distinct sites (fractional):
Li (0.000, 0.000, 0.000) (multiplicity 4)
La (0.250, 0.250, 0.250) (multiplicity 4)
Dy (0.250, 0.250, 0.750) (multiplicity 4)
Ho (0.000, 0.000, 0.500) (multiplicity 4)



Computed, not measured: a relaxed LaDyHoLu crystal at the GGA-PBE level of DFT.

Summary:
- crystal system = cubic

Unit cell a=8.056 b=8.056 c=8.056 alpha=90.00 beta=90.00 gamma=90.00
Space group F-43m (No. 216)
Symmetry-distinct sites (fractional):
La (0.000, 0.000, 0.000) (multiplicity 4)
Dy (0.000, 0.000, 0.500) (multiplicity 4)
Ho (0.250, 0.250, 0.250) (multiplicity 4)
Lu (0.250, 0.250, 0.750) (multiplicity 4)



Number 1: E_form 0.257 eV per atom, N(E_F) 34.29 states/eV per cell, total moment 0.00 μB/cell. Number 2: E_form 0.711 eV per atom, N(E_F) 27.18 states/eV per cell, total moment 0.00 μB/cell. Number 3: E_form 0.028 eV per atom, N(E_F) 18.64 states/eV per cell, total moment 0.00 μB/cell. Number 4: E_form 0.225 eV per atom, N(E_F) 27.29 states/eV per cell, total moment 0.00 μB/cell. Number 5: E_form 0.113 eV per atom, N(E_F) 36.02 states/eV per cell, total moment 0.00 μB/cell. Number 6: E_form 0.085 eV per atom, N(E_F) 25.51 states/eV per cell, total moment 0.01 μB/cell. Number 7: E_form 0.168 eV per atom, N(E_F) 17.31 states/eV per cell, total moment 0.00 μB/cell. Number 8: E_form 0.101 eV per atom, N(E_F) 24.34 states/eV per cell, total moment 0.00 μB/cell.